Here is a geometry-optimized NpMnRuO6 structure from Alexandria. Energies are from GGA+U.

Properties
DOS at the Fermi energy in states/eV/atom: 0.7247
Crystal system: trigonal
Symmetry: P-31c, No. 163
Spin magnetization in μB/cell: 7.978
VASP energy in eV per atom: -8.52

```
NpMnRuO6
1.0
5.216 0.000 0.000
-2.608 4.517 0.000
0.000 0.000 9.453
Np Mn Ru O
2 2 2 12
Direct
0.667 0.333 0.250 Np
0.333 0.667 0.750 Np
0.000 0.000 0.000 Mn
0.000 0.000 0.500 Mn
0.333 0.667 0.250 Ru
0.667 0.333 0.750 Ru
0.655 0.664 0.131 O
0.009 0.345 0.131 O
0.345 0.009 0.631 O
0.991 0.655 0.869 O
0.336 0.345 0.369 O
0.009 0.664 0.369 O
0.664 0.009 0.869 O
0.655 0.991 0.369 O
0.991 0.336 0.631 O
0.336 0.991 0.131 O
0.664 0.655 0.631 O
0.345 0.336 0.869 O
```